## LiFeP2O (PBE+U)

Data for a relaxed structure of LiFeP2O.

Cell lengths 4.641, 4.641, 3.268 Å; angles 90.00, 90.00, 90.00 degrees
Last column: magnetic moment on the atom in μB.
Positions (direct):
P (0.000, 0.500, 0.000)  -0.01
P (0.500, 0.000, 0.000)  -0.01
Li (0.000, 0.000, 0.000)  0.01
O (0.000, 0.000, 0.500)  0.09
Fe (0.500, 0.500, 0.500)  3.59

Properties
**SG**: P4/mmm, No. 123
**Theoretical density**: 3.32 g cm⁻³
**VASP energy**: -20.36 eV for the cell shown
**N(E_F)**: 0.757 states/eV/atom